First-principles (GGA+U) data for an optimized crystal structure of MnSiNO2, as listed in Alexandria via LeMat-Bulk.

```
MnSiNO2
1.0
3.532 0.000 0.000
0.000 3.532 0.000
0.000 0.000 3.698
Mn Si N O
1 1 1 2
direct
0.000 0.000 0.000
0.500 0.500 0.500
0.500 0.500 0.000
0.000 0.500 0.500
0.500 0.000 0.500
```

## Properties
Size of the total moment in μB per atom: 0.804
E_tot in eV/atom: -7.355
Crystal system: tetragonal